Density functional theory data (PBE with a Hubbard U) for a relaxed structure of Mn2Ag2MoO6.

Calculated values
Spin magnetization, μB per formula unit: 6.000
Crystal system: monoclinic
Raw total energy, eV/atom: -6.145
SG: C2/m (12)

a b c (Å): 5.2046 5.2046 6.2492
angles (deg): 98.53 98.53 117.55
Fractional coordinates of all 11 atoms:
1 Mn 0.1663 0.8337 0.0000
2 Mn 0.8337 0.1663 0.0000
3 Ag 0.1841 0.8159 0.5000
4 Ag 0.8159 0.1841 0.5000
5 Mo 0.5000 0.5000 0.0000
6 O 0.0968 0.0968 0.8256
7 O 0.2145 0.5549 0.1708
8 O 0.4451 0.7855 0.8292
9 O 0.5549 0.2145 0.1708
10 O 0.7855 0.4451 0.8292
11 O 0.9032 0.9032 0.1744